The following is a PBE with a Hubbard U calculation of KMg6WO8 after structural relaxation, from Alexandria.

Cell and atoms, written as CIF:
```
data_KMg6WO8
_space_group_name_H-M_alt 'P 4/m m m'
_space_group_IT_number 123
_space_group_name_Hall '-P 4 2'
_cell_length_a 4.478
_cell_length_b 4.478
_cell_length_c 8.822
_cell_angle_alpha 90.00
_cell_angle_beta 90.00
_cell_angle_gamma 90.00
loop_
_atom_site_label
_atom_site_fract_x
_atom_site_fract_y
_atom_site_fract_z
K1 0.000 0.000 0.000
Mg1 0.000 0.000 0.500
Mg2 0.000 0.500 0.261
Mg3 0.500 0.500 0.500
W1 0.500 0.500 0.000
O1 0.000 0.000 0.277
O2 0.000 0.500 0.000
O3 0.000 0.500 0.500
O4 0.500 0.500 0.253
```

total energy: -5.765 eV/atom
density: 4.66 g cm⁻³
total magnetization: 3.000 μB/f.u.
E above lowest polymorph: 0.0 meV per atom